No. 1
{"formula": "DyTm2AgN", "functional": "PBE", "state": "relaxed", "cell": [[-1.765, -4.243, -0.916], [4.292, -1.558, -1.052], [0.670, -1.277, 4.625]], "species": ["Tm", "Tm", "Dy", "N", "Ag"], "frac_coords": [[0.000, 0.500, 0.000], [0.500, 0.000, 0.000], [0.000, 0.000, 0.500], [0.000, 0.000, 0.000], [0.500, 0.500, 0.500]], "magmom_total_mub_per_atom": 0.000, "raw_formation_energy_kj_per_mol_fu": -374, "dft_energy_ev_per_cell": -28.6, "dos_ef_per_ev_atom": 1.2453}

No. 2
{"formula": "NaDyAg4", "functional": "PBE", "state": "relaxed", "cell": [[5.657, 0.000, 0.000], [2.829, 4.899, 0.000], [2.829, 1.633, 4.619]], "species": ["Ag", "Ag", "Ag", "Ag", "Na", "Dy"], "frac_coords": [[0.625, 0.625, 0.625], [0.625, 0.625, 0.124], [0.625, 0.124, 0.625], [0.124, 0.625, 0.625], [0.000, 0.000, 0.000], [0.250, 0.250, 0.250]], "magmom_total_mub_per_atom": 0.002, "formation_enthalpy_0k_kj_per_mol_fu": -49, "dft_energy_ev_per_cell": -17.8, "dos_ef_per_ev_atom": 1.5017}

No. 3
{"formula": "NaDyAg2", "functional": "PBE", "state": "relaxed", "cell": [[-0.506, -0.448, -3.553], [1.982, -3.024, 0.099], [-6.153, -3.988, 1.380]], "species": ["Dy", "Ag", "Ag", "Na"], "frac_coords": [[0.500, 0.500, 0.000], [0.000, 0.000, 0.773], [0.000, 0.000, 0.227], [0.500, 0.500, 0.500]], "magmom_total_mub_per_atom": 0.000, "formation_enthalpy_0k_kj_per_mol_fu": -55, "de_polymorph_mev_per_atom": 0, "dft_energy_ev_per_cell": -12.2, "dos_ef_per_ev_atom": 0.5853}

No. 4
{"formula": "NaDyAg2", "functional": "PBE", "state": "relaxed", "cell": [[-0.754, -3.582, 0.384], [1.095, -1.798, 3.019], [-7.556, 0.250, 5.134]], "species": ["Na", "Dy", "Ag", "Ag"], "frac_coords": [[0.000, 0.000, 0.000], [0.500, 0.500, 0.500], [0.753, 0.753, 0.741], [0.247, 0.247, 0.259]], "magmom_total_mub_per_atom": 0.000, "formation_enthalpy_0k_kj_per_mol_fu": 8, "de_polymorph_mev_per_atom": 165, "dft_energy_ev_per_cell": -11.5, "dos_ef_per_ev_atom": 0.5436}

No. 5
{"formula": "NaDyAg2", "functional": "PBE", "state": "relaxed", "cell": [[5.059, 0.000, 0.000], [2.529, 4.381, 0.000], [2.529, 1.460, 4.130]], "species": ["Dy", "Ag", "Ag", "Na"], "frac_coords": [[0.000, 0.000, 0.000], [0.250, 0.250, 0.250], [0.750, 0.750, 0.750], [0.500, 0.500, 0.500]], "magmom_total_mub_per_atom": 0.000, "formation_enthalpy_0k_kj_per_mol_fu": -40, "de_polymorph_mev_per_atom": 39, "dft_energy_ev_per_cell": -12.0, "dos_ef_per_ev_atom": 0.5273}

No. 6
{"formula": "NaDyAgPb", "functional": "PBE", "state": "relaxed", "cell": [[5.217, 0.000, 0.000], [2.608, 4.518, 0.000], [2.608, 1.506, 4.259]], "species": ["Dy", "Ag", "Na", "Pb"], "frac_coords": [[0.750, 0.750, 0.750], [0.500, 0.500, 0.500], [0.250, 0.250, 0.250], [0.000, 0.000, 0.000]], "magmom_total_mub_per_atom": 0.000, "formation_enthalpy_0k_kj_per_mol_fu": -93, "dft_energy_ev_per_cell": -13.4, "dos_ef_per_ev_atom": 0.6103}

No. 7
{"formula": "NaDyAgPt", "functional": "PBE", "state": "relaxed", "cell": [[-4.217, -1.187, 2.242], [0.084, -2.035, 4.480], [-1.522, 2.581, 3.904]], "species": ["Ag", "Pt", "Dy", "Na"], "frac_coords": [[0.000, 0.000, 0.000], [0.500, 0.500, 0.500], [0.250, 0.250, 0.250], [0.750, 0.750, 0.750]], "magmom_total_mub_per_atom": 0.000, "formation_enthalpy_0k_kj_per_mol_fu": -174, "dft_energy_ev_per_cell": -16.6, "dos_ef_per_ev_atom": 0.5953}

No. 8
{"formula": "NaDy2AgS4", "functional": "PBE", "state": "relaxed", "cell": [[-0.555, 7.846, 1.256], [-2.996, -1.410, 7.245], [6.928, -3.129, -2.014]], "species": ["Dy", "Dy", "Dy", "Dy", "S", "S", "S", "S", "S", "S", "S", "S", "Ag", "Ag", "Na", "Na"], "frac_coords": [[0.500, 0.500, 0.000], [0.500, 0.000, 0.500], [0.000, 0.000, 0.500], [0.500, 0.000, 0.000], [0.256, 0.244, 0.991], [0.270, 0.755, 0.012], [0.745, 0.230, 0.488], [0.730, 0.245, 0.988], [0.255, 0.770, 0.512], [0.744, 0.756, 0.009], [0.744, 0.756, 0.491], [0.256, 0.244, 0.509], [0.500, 0.500, 0.500], [0.000, 0.000, 0.000], [0.000, 0.500, 0.500], [0.000, 0.500, 0.000]], "magmom_total_mub_per_atom": 0.000, "raw_formation_energy_kj_per_mol_fu": -1206, "dft_energy_ev_per_cell": -84.8, "dos_ef_per_ev_atom": 0.0000}

No. 9
{"formula": "Na2DyAgSb2", "functional": "PBE", "state": "relaxed", "cell": [[4.526, 0.000, 0.000], [0.000, 7.622, 0.000], [0.000, 0.000, 9.154]], "species": ["Na", "Na", "Na", "Na", "Ag", "Ag", "Dy", "Dy", "Sb", "Sb", "Sb", "Sb"], "frac_coords": [[0.500, 0.046, 0.069], [0.000, 0.362, 0.166], [0.000, 0.862, 0.834], [0.500, 0.546, 0.931], [0.500, 0.639, 0.318], [0.500, 0.139, 0.682], [0.000, 0.973, 0.447], [0.000, 0.473, 0.553], [0.000, 0.767, 0.164], [0.000, 0.267, 0.836], [0.500, 0.758, 0.616], [0.500, 0.258, 0.384]], "magmom_total_mub_per_atom": 0.000, "raw_formation_energy_kj_per_mol_fu": -339, "dft_energy_ev_per_cell": -43.7, "dos_ef_per_ev_atom": 0.0840}

No. 10
{"formula": "NaDyAgSn", "functional": "PBE", "state": "relaxed", "cell": [[5.166, 0.000, 0.000], [2.583, 4.474, 0.000], [2.583, 1.491, 4.218]], "species": ["Sn", "Dy", "Ag", "Na"], "frac_coords": [[0.250, 0.250, 0.250], [0.000, 0.000, 0.000], [0.750, 0.750, 0.750], [0.500, 0.500, 0.500]], "magmom_total_mub_per_atom": 0.000, "formation_enthalpy_0k_kj_per_mol_fu": -123, "dft_energy_ev_per_cell": -14.1, "dos_ef_per_ev_atom": 0.5890}

No. 11
{"formula": "NaDy2AgTe4", "functional": "PBE", "state": "relaxed", "cell": [[-3.333, 2.092, -1.986], [3.360, -1.062, -6.758], [-4.683, -5.970, 1.572]], "species": ["Te", "Te", "Te", "Te", "Ag", "Dy", "Dy", "Na"], "frac_coords": [[0.500, 0.245, 0.254], [0.500, 0.755, 0.746], [0.000, 0.246, 0.740], [0.000, 0.754, 0.260], [0.000, 0.000, 0.000], [0.000, 0.500, 0.500], [0.500, 0.000, 0.500], [0.500, 0.500, 0.000]], "magmom_total_mub_per_atom": 0.000, "raw_formation_energy_kj_per_mol_fu": -822, "dft_energy_ev_per_cell": -34.5}

No. 12
{"formula": "NaDyTlAg", "functional": "PBE", "state": "relaxed", "cell": [[5.181, 0.000, 0.000], [2.590, 4.486, 0.000], [2.590, 1.495, 4.230]], "species": ["Tl", "Na", "Dy", "Ag"], "frac_coords": [[0.750, 0.750, 0.750], [0.500, 0.500, 0.500], [0.000, 0.000, 0.000], [0.250, 0.250, 0.250]], "magmom_total_mub_per_atom": 0.000, "formation_enthalpy_0k_kj_per_mol_fu": -58, "dft_energy_ev_per_cell": -11.7, "dos_ef_per_ev_atom": 0.6971}

Question: Number 10 is which compound?
Answer: NaDyAgSn

What did the second record say?
{"formula": "NaDyAg4", "functional": "PBE", "state": "relaxed", "cell": [[5.657, 0.000, 0.000], [2.829, 4.899, 0.000], [2.829, 1.633, 4.619]], "species": ["Ag", "Ag", "Ag", "Ag", "Na", "Dy"], "frac_coords": [[0.625, 0.625, 0.625], [0.625, 0.625, 0.124], [0.625, 0.124, 0.625], [0.124, 0.625, 0.625], [0.000, 0.000, 0.000], [0.250, 0.250, 0.250]], "magmom_total_mub_per_atom": 0.002, "formation_enthalpy_0k_kj_per_mol_fu": -49, "dft_energy_ev_per_cell": -17.8, "dos_ef_per_ev_atom": 1.5017}